No. 1
DFT (GGA-PBE) results for a relaxed structure of Be2NiIr. Values from VASP.

Cell and atoms, written as Quantum ESPRESSO input:
```
&SYSTEM
  ibrav = 0, nat = 4, ntyp = 3
/
ATOMIC_SPECIES
Ni 58.69 Ni.upf
Ir 192.22 Ir.upf
Be 9.01 Be.upf
CELL_PARAMETERS angstrom
-1.9127 1.9127 2.7171
1.9127 -1.9127 2.7171
1.9127 1.9127 -2.7171
ATOMIC_POSITIONS angstrom
Ni 0.0000 0.0000 0.0000
Ir 0.0000 0.0000 2.7171
Be 0.0000 1.9127 1.3586
Be 1.9127 0.0000 1.3586
```

Calculated values
Space-group type = I4/mmm, No. 139
Total moment = 0.000 μB/atom
Final energy = -24.24 eV per cell
E above lowest polymorph = 0.00 eV/f.u.



No. 2
DFT (GGA-PBE) results for a relaxed structure of SrAgOs. Values from VASP.

Cell and atoms, written as Quantum ESPRESSO input:
```
&SYSTEM
  ibrav = 0, nat = 3, ntyp = 3
/
ATOMIC_SPECIES
Ag 107.87 Ag.upf
Os 190.23 Os.upf
Sr 87.62 Sr.upf
CELL_PARAMETERS angstrom
0.0000 3.3679 3.3679
3.3679 0.0000 3.3679
3.3679 3.3679 0.0000
ATOMIC_POSITIONS angstrom
Ag 1.6840 1.6840 1.6840
Os 0.0000 0.0000 0.0000
Sr 5.0519 5.0519 5.0519
```

Calculated values
Space-group type = F-43m, No. 216
Total moment = 0.364 μB/atom
Final energy = -12.36 eV per cell
E above lowest polymorph = 0.00 eV/f.u.